Computed, not measured: a relaxed structure of BaTaMoO6 at the PBE+U level of DFT. Values from VASP.

```
&SYSTEM
  ibrav = 0, nat = 18, ntyp = 4
/
ATOMIC_SPECIES
Ba 137.33 Ba.upf
Ta 180.95 Ta.upf
Mo 95.94 Mo.upf
O 16.00 O.upf
CELL_PARAMETERS angstrom
5.177 0.000 0.000
0.000 5.177 0.000
0.000 0.000 9.967
ATOMIC_POSITIONS angstrom
Ba 0.000 0.000 0.000
Ba 2.589 2.589 4.984
Ta 0.000 0.000 3.428
Ta 2.589 2.589 8.411
Mo 0.000 0.000 6.657
Mo 2.589 2.589 1.674
O 0.835 0.835 5.020
O 1.277 1.277 7.933
O 1.293 1.293 2.130
O 1.296 3.881 7.114
O 1.312 3.865 2.949
O 1.754 3.424 0.036
O 3.424 1.754 0.036
O 3.865 1.312 2.949
O 3.881 1.296 7.114
O 3.885 3.885 2.130
O 3.900 3.900 7.933
O 4.342 4.342 5.020
```

Magnetization, μB per cell: 2.00
ρ, g/cm³: 6.3
Electronic total energy, eV for the cell shown: -143.0
Space-group type: P4_2nm, No. 102